Record 1
# Ta2BeCoTc | Alexandria | GGA-PBE | relaxed
data_Ta2BeCoTc
_cell_length_a 4.754
_cell_length_b 4.754
_cell_length_c 4.098
_cell_angle_alpha 90.00
_cell_angle_beta 90.00
_cell_angle_gamma 90.00
_space_group_name_H-M_alt 'P 4/m m m'
_space_group_IT_number 123
_space_group_name_Hall '-P 4 2'
loop_
_atom_site_label
_atom_site_fract_x
_atom_site_fract_y
_atom_site_fract_z
_atom_site_occupancy
Ta1 0.000 0.500 0.000 1
Be1 0.000 0.000 0.500 1
Co1 0.500 0.500 0.500 1
Tc1 0.000 0.000 0.000 1
# * formation enthalpy at 0 K: 1.38 eV per atom
# * crystal system: tetragonal

***

Record 2
# TaBeTlCo2 | Alexandria | GGA-PBE | relaxed
data_TaBeTlCo2
_cell_length_a 4.529
_cell_length_b 4.529
_cell_length_c 4.670
_cell_angle_alpha 90.00
_cell_angle_beta 90.00
_cell_angle_gamma 90.00
_space_group_name_H-M_alt 'P 4/m m m'
_space_group_IT_number 123
_space_group_name_Hall '-P 4 2'
loop_
_atom_site_label
_atom_site_fract_x
_atom_site_fract_y
_atom_site_fract_z
_atom_site_occupancy
Ta1 0.000 0.000 0.000 1
Be1 0.000 0.000 0.500 1
Tl1 0.500 0.500 0.500 1
Co1 0.000 0.500 0.000 1
# * formation enthalpy at 0 K: 1.37 eV per atom
# * crystal system: tetragonal

***

Record 3
# Ta2Be2VCo5 | Alexandria | GGA-PBE | relaxed
data_Ta2Be2VCo5
_cell_length_a 8.483
_cell_length_b 8.483
_cell_length_c 3.180
_cell_angle_alpha 90.00
_cell_angle_beta 90.00
_cell_angle_gamma 90.00
_space_group_name_H-M_alt 'P 4/m b m'
_space_group_IT_number 127
_space_group_name_Hall '-P 4 2ab'
loop_
_atom_site_label
_atom_site_fract_x
_atom_site_fract_y
_atom_site_fract_z
_atom_site_occupancy
Ta1 0.176 0.324 0.000 1
Be1 0.119 0.619 0.000 1
V1 0.000 0.000 0.000 1
Co1 0.000 0.500 0.500 1
Co2 0.067 0.790 0.500 1
# * formation enthalpy at 0 K: -0.30 eV per atom
# * crystal system: tetragonal

***

Record 4
# Tb2BeCo | Alexandria | GGA-PBE | relaxed
data_Tb2BeCo
_cell_length_a 6.769
_cell_length_b 6.769
_cell_length_c 6.769
_cell_angle_alpha 90.00
_cell_angle_beta 90.00
_cell_angle_gamma 90.00
_space_group_name_H-M_alt 'F m -3 m'
_space_group_IT_number 225
_space_group_name_Hall '-F 4 2 3'
loop_
_atom_site_label
_atom_site_fract_x
_atom_site_fract_y
_atom_site_fract_z
_atom_site_occupancy
Tb1 0.250 0.250 0.250 1
Be1 0.000 0.000 0.000 1
Co1 0.000 0.000 0.500 1
# * formation enthalpy at 0 K: -0.01 eV per atom
# * crystal system: cubic
# * excess energy over the best structure of this formula in the dataset: 0.146 eV/atom

***

Record 5
# Tb2BeCo2 | Alexandria | GGA-PBE | relaxed
data_Tb2BeCo2
_cell_length_a 3.720
_cell_length_b 5.508
_cell_length_c 8.356
_cell_angle_alpha 90.00
_cell_angle_beta 90.00
_cell_angle_gamma 90.00
_space_group_name_H-M_alt 'I m m m'
_space_group_IT_number 71
_space_group_name_Hall '-I 2 2'
loop_
_atom_site_label
_atom_site_fract_x
_atom_site_fract_y
_atom_site_fract_z
_atom_site_occupancy
Tb1 0.000 0.000 0.194 1
Be1 0.000 0.500 0.000 1
Co1 0.000 0.235 0.500 1
# * formation enthalpy at 0 K: -0.20 eV per atom
# * crystal system: orthorhombic
# * excess energy over the best structure of this formula in the dataset: 0.000 eV/atom

***

Record 6
# Tb3Be2Co7 | Alexandria | GGA-PBE | relaxed
data_Tb3Be2Co7
_cell_length_a 4.9829
_cell_length_b 4.9829
_cell_length_c 23.1325
_cell_angle_alpha 90.00
_cell_angle_beta 90.00
_cell_angle_gamma 120.00
_space_group_name_H-M_alt 'R -3 m'
_space_group_IT_number 166
_space_group_name_Hall '-R 3 2"'
loop_
_atom_site_label
_atom_site_fract_x
_atom_site_fract_y
_atom_site_fract_z
_atom_site_occupancy
Tb1 0.0000 0.0000 0.0000 1
Tb2 0.0000 0.0000 0.1403 1
Be1 0.0000 0.0000 0.3337 1
Co1 0.0000 0.0000 0.5000 1
Co2 0.0005 0.5003 0.0768 1
# * formation enthalpy at 0 K: -0.23 eV per atom
# * crystal system: trigonal

***

Record 7
# TbBe6Co2 | Alexandria | GGA-PBE | relaxed
data_TbBe6Co2
_cell_length_a 3.579
_cell_length_b 6.013
_cell_length_c 9.317
_cell_angle_alpha 90.00
_cell_angle_beta 90.00
_cell_angle_gamma 90.00
_space_group_name_H-M_alt 'I m m m'
_space_group_IT_number 71
_space_group_name_Hall '-I 2 2'
loop_
_atom_site_label
_atom_site_fract_x
_atom_site_fract_y
_atom_site_fract_z
_atom_site_occupancy
Tb1 0.000 0.000 0.000 1
Be1 0.000 0.156 0.500 1
Be2 0.000 0.193 0.284 1
Co1 0.000 0.500 0.134 1
# * formation enthalpy at 0 K: -0.06 eV per atom
# * crystal system: orthorhombic

***

Record 8
# TbBe2Co2 | Alexandria | GGA-PBE | relaxed
data_TbBe2Co2
_cell_length_a 5.228
_cell_length_b 9.528
_cell_length_c 5.780
_cell_angle_alpha 90.00
_cell_angle_beta 113.91
_cell_angle_gamma 90.00
_space_group_name_H-M_alt 'C 1 2/c 1'
_space_group_IT_number 15
_space_group_name_Hall '-C 2yc'
loop_
_atom_site_label
_atom_site_fract_x
_atom_site_fract_y
_atom_site_fract_z
_atom_site_occupancy
Tb1 0.000 0.130 0.250 1
Be1 0.095 0.351 0.955 1
Co1 0.000 0.155 0.750 1
Co2 0.000 0.450 0.250 1
# * formation enthalpy at 0 K: -0.09 eV per atom
# * crystal system: monoclinic

***

Record 9
# TbBe17Co | Alexandria | GGA-PBE | relaxed
data_TbBe17Co
_cell_length_a 7.4983
_cell_length_b 7.4983
_cell_length_c 10.8846
_cell_angle_alpha 90.00
_cell_angle_beta 90.00
_cell_angle_gamma 120.00
_space_group_name_H-M_alt 'R 3 m'
_space_group_IT_number 160
_space_group_name_Hall 'R 3 -2"'
loop_
_atom_site_label
_atom_site_fract_x
_atom_site_fract_y
_atom_site_fract_z
_atom_site_occupancy
Tb1 0.0000 0.0000 0.0000 1
Be1 0.0000 0.0000 0.2504 1
Be2 0.0000 0.0000 0.4439 1
Be3 0.0078 0.5039 0.8418 1
Be4 0.0086 0.5043 0.4974 1
Be5 0.0100 0.2990 0.3442 1
Be6 0.0241 0.5120 0.1950 1
Co1 0.0000 0.0000 0.6551 1
# * formation enthalpy at 0 K: -0.04 eV per atom
# * crystal system: trigonal

***

Record 10
# TbBe3Co2 | Alexandria | GGA-PBE | relaxed
data_TbBe3Co2
_cell_length_a 8.729
_cell_length_b 6.655
_cell_length_c 5.081
_cell_angle_alpha 90.00
_cell_angle_beta 90.00
_cell_angle_gamma 90.00
_space_group_name_H-M_alt 'C m c m'
_space_group_IT_number 63
_space_group_name_Hall '-C 2c 2'
loop_
_atom_site_label
_atom_site_fract_x
_atom_site_fract_y
_atom_site_fract_z
_atom_site_occupancy
Tb1 0.000 0.173 0.250 1
Be1 0.000 0.419 0.750 1
Be2 0.191 0.222 0.750 1
Co1 0.197 0.500 0.000 1
# * formation enthalpy at 0 K: -0.23 eV per atom
# * crystal system: orthorhombic

***

Record 11
# TbBe3Co | Alexandria | GGA-PBE | relaxed
data_TbBe3Co
_cell_length_a 4.080
_cell_length_b 4.080
_cell_length_c 4.080
_cell_angle_alpha 90.00
_cell_angle_beta 90.00
_cell_angle_gamma 90.00
_space_group_name_H-M_alt 'P m -3 m'
_space_group_IT_number 221
_space_group_name_Hall '-P 4 2 3'
loop_
_atom_site_label
_atom_site_fract_x
_atom_site_fract_y
_atom_site_fract_z
_atom_site_occupancy
Tb1 0.000 0.000 0.000 1
Be1 0.000 0.500 0.500 1
Co1 0.500 0.500 0.500 1
# * formation enthalpy at 0 K: -0.09 eV per atom
# * crystal system: cubic

***

Record 12
# Tb2Be15Co2 | Alexandria | GGA-PBE | relaxed
data_Tb2Be15Co2
_cell_length_a 7.8137
_cell_length_b 7.8137
_cell_length_c 11.2814
_cell_angle_alpha 90.00
_cell_angle_beta 90.00
_cell_angle_gamma 120.00
_space_group_name_H-M_alt 'R -3 m'
_space_group_IT_number 166
_space_group_name_Hall '-R 3 2"'
loop_
_atom_site_label
_atom_site_fract_x
_atom_site_fract_y
_atom_site_fract_z
_atom_site_occupancy
Tb1 0.0000 0.0000 0.1582 1
Be1 0.0000 0.2733 0.5000 1
Be2 0.0000 0.5000 0.0000 1
Be3 0.0124 0.5062 0.3399 1
Co1 0.0000 0.0000 0.3992 1
# * formation enthalpy at 0 K: -0.17 eV per atom
# * crystal system: trigonal

***

Record 13
# Tb2BeCo | Alexandria | GGA-PBE | relaxed
data_Tb2BeCo
_cell_length_a 6.659
_cell_length_b 3.825
_cell_length_c 7.171
_cell_angle_alpha 90.00
_cell_angle_beta 107.75
_cell_angle_gamma 90.00
_space_group_name_H-M_alt 'C 1 m 1'
_space_group_IT_number 8
_space_group_name_Hall 'C -2y'
loop_
_atom_site_label
_atom_site_fract_x
_atom_site_fract_y
_atom_site_fract_z
_atom_site_occupancy
Tb1 0.000 0.000 0.000 1
Tb2 0.173 0.000 0.524 1
Be1 0.419 0.000 0.261 1
Co1 0.253 0.500 0.263 1
# * formation enthalpy at 0 K: -0.15 eV per atom
# * crystal system: monoclinic
# * excess energy over the best structure of this formula in the dataset: 0.000 eV/atom

***

Record 14
# TbBe4Co | Alexandria | GGA-PBE | relaxed
data_TbBe4Co
_cell_length_a 6.512
_cell_length_b 6.512
_cell_length_c 6.512
_cell_angle_alpha 90.00
_cell_angle_beta 90.00
_cell_angle_gamma 90.00
_space_group_name_H-M_alt 'F -4 3 m'
_space_group_IT_number 216
_space_group_name_Hall 'F -4 2 3'
loop_
_atom_site_label
_atom_site_fract_x
_atom_site_fract_y
_atom_site_fract_z
_atom_site_occupancy
Tb1 0.000 0.000 0.000 1
Be1 0.121 0.121 0.379 1
Co1 0.250 0.250 0.750 1
# * formation enthalpy at 0 K: -0.08 eV per atom
# * crystal system: cubic

***

Record 15
# Tb2BeCo2 | Alexandria | GGA-PBE | relaxed
data_Tb2BeCo2
_cell_length_a 9.509
_cell_length_b 5.266
_cell_length_c 7.016
_cell_angle_alpha 90.00
_cell_angle_beta 103.25
_cell_angle_gamma 90.00
_space_group_name_H-M_alt 'C 1 2/c 1'
_space_group_IT_number 15
_space_group_name_Hall '-C 2yc'
loop_
_atom_site_label
_atom_site_fract_x
_atom_site_fract_y
_atom_site_fract_z
_atom_site_occupancy
Tb1 0.149 0.133 0.150 1
Be1 0.000 0.394 0.750 1
Co1 0.126 0.373 0.509 1
# * formation enthalpy at 0 K: -0.18 eV per atom
# * crystal system: monoclinic
# * excess energy over the best structure of this formula in the dataset: 0.020 eV/atom

***

Record 16
# Tb2BeCo | Alexandria | GGA-PBE | relaxed
data_Tb2BeCo
_cell_length_a 3.398
_cell_length_b 3.398
_cell_length_c 6.749
_cell_angle_alpha 90.00
_cell_angle_beta 90.00
_cell_angle_gamma 90.00
_space_group_name_H-M_alt 'P 4/m m m'
_space_group_IT_number 123
_space_group_name_Hall '-P 4 2'
loop_
_atom_site_label
_atom_site_fract_x
_atom_site_fract_y
_atom_site_fract_z
_atom_site_occupancy
Tb1 0.000 0.000 0.245 1
Be1 0.500 0.500 0.500 1
Co1 0.500 0.500 0.000 1
# * formation enthalpy at 0 K: 0.00 eV per atom
# * crystal system: tetragonal
# * excess energy over the best structure of this formula in the dataset: 0.149 eV/atom

***

Record 17
# TbTmBeCo | Alexandria | GGA-PBE | relaxed
data_TbTmBeCo
_cell_length_a 6.701
_cell_length_b 6.701
_cell_length_c 6.701
_cell_angle_alpha 90.00
_cell_angle_beta 90.00
_cell_angle_gamma 90.00
_space_group_name_H-M_alt 'F -4 3 m'
_space_group_IT_number 216
_space_group_name_Hall 'F -4 2 3'
loop_
_atom_site_label
_atom_site_fract_x
_atom_site_fract_y
_atom_site_fract_z
_atom_site_occupancy
Tb1 0.000 0.000 0.000 1
Tm1 0.000 0.000 0.500 1
Be1 0.250 0.250 0.250 1
Co1 0.250 0.250 0.750 1
# * formation enthalpy at 0 K: -0.05 eV per atom
# * crystal system: cubic

***

Record 18
# TbZrBeCo | Alexandria | GGA-PBE | relaxed
data_TbZrBeCo
_cell_length_a 6.579
_cell_length_b 6.579
_cell_length_c 6.579
_cell_angle_alpha 90.00
_cell_angle_beta 90.00
_cell_angle_gamma 90.00
_space_group_name_H-M_alt 'F -4 3 m'
_space_group_IT_number 216
_space_group_name_Hall 'F -4 2 3'
loop_
_atom_site_label
_atom_site_fract_x
_atom_site_fract_y
_atom_site_fract_z
_atom_site_occupancy
Tb1 0.000 0.000 0.000 1
Zr1 0.000 0.000 0.500 1
Be1 0.250 0.250 0.250 1
Co1 0.250 0.250 0.750 1
# * formation enthalpy at 0 K: 0.00 eV per atom
# * crystal system: cubic

***

Record 19
# BeCoTc | Alexandria | GGA-PBE | relaxed
data_BeCoTc
_cell_length_a 4.385
_cell_length_b 3.665
_cell_length_c 8.380
_cell_angle_alpha 90.00
_cell_angle_beta 90.00
_cell_angle_gamma 90.00
_space_group_name_H-M_alt 'P n m a'
_space_group_IT_number 62
_space_group_name_Hall '-P 2ac 2n'
loop_
_atom_site_label
_atom_site_fract_x
_atom_site_fract_y
_atom_site_fract_z
_atom_site_occupancy
Be1 0.043 0.250 0.232 1
Co1 0.209 0.250 0.823 1
Tc1 0.198 0.250 0.529 1
# * formation enthalpy at 0 K: -0.04 eV per atom
# * crystal system: orthorhombic
# * excess energy over the best structure of this formula in the dataset: 0.200 eV/atom

***

Record 20
# BeCoTc | Alexandria | GGA-PBE | relaxed
data_BeCoTc
_cell_length_a 4.0183
_cell_length_b 4.0183
_cell_length_c 4.9761
_cell_angle_alpha 90.00
_cell_angle_beta 90.00
_cell_angle_gamma 120.00
_space_group_name_H-M_alt 'P 63/m m c'
_space_group_IT_number 194
_space_group_name_Hall '-P 6c 2c'
loop_
_atom_site_label
_atom_site_fract_x
_atom_site_fract_y
_atom_site_fract_z
_atom_site_occupancy
Be1 0.0000 0.0000 0.0000 1
Co1 0.3333 0.6667 0.2500 1
Tc1 0.3333 0.6667 0.7500 1
# * formation enthalpy at 0 K: 0.15 eV per atom
# * crystal system: hexagonal
# * excess energy over the best structure of this formula in the dataset: 0.386 eV/atom

***

Number 1: total magnetization 0.00 μB/f.u.. Number 2: total magnetization 1.30 μB/f.u.. Number 3: total magnetization 0.00 μB/f.u.. Number 4: total magnetization 0.00 μB/f.u.. Number 5: total magnetization 0.00 μB/f.u.. Number 6: total magnetization 5.17 μB/f.u.. Number 7: total magnetization 0.00 μB/f.u.. Number 8: total magnetization 0.00 μB/f.u.. Number 9: total magnetization 0.02 μB/f.u.. Number 10: total magnetization 0.00 μB/f.u.. Number 11: total magnetization 0.00 μB/f.u.. Number 12: total magnetization 0.00 μB/f.u.. Number 13: total magnetization 0.00 μB/f.u.. Number 14: total magnetization 0.00 μB/f.u.. Number 15: total magnetization 0.00 μB/f.u.. Number 16: total magnetization 0.37 μB/f.u.. Number 17: total magnetization 0.00 μB/f.u.. Number 18: total magnetization 0.50 μB/f.u.. Number 19: total magnetization 0.00 μB/f.u.. Number 20: total magnetization 0.00 μB/f.u..